(1)
Material: HfFe2Pd
Method: DFT, PBE
State: optimized geometry

CIF file:
```
data_HfFe2Pd
_chemical_formula_sum 'Hf4 Fe8 Pd4'
_cell_length_a 6.202
_cell_length_b 6.202
_cell_length_c 6.202
_cell_angle_alpha 90.00
_cell_angle_beta 90.00
_cell_angle_gamma 90.00
_space_group_name_H-M_alt 'F -4 3 m'
_space_group_IT_number 216
_space_group_name_Hall 'F -4 2 3'
loop_
_atom_site_label
_atom_site_type_symbol
_atom_site_fract_x
_atom_site_fract_y
_atom_site_fract_z
Hf1 Hf 0.000 0.000 0.000
Fe1 Fe 0.000 0.000 0.500
Fe2 Fe 0.250 0.250 0.250
Pd1 Pd 0.250 0.250 0.750
```

Values from the calculation:
energy of formation = -0.7 eV per formula unit

(2)
Material: Sr2Pd
Method: DFT, PBE
State: optimized geometry

CIF file:
```
data_Sr2Pd
_chemical_formula_sum 'Sr24 Pd12'
_cell_length_a 4.3998
_cell_length_b 4.3998
_cell_length_c 83.9294
_cell_angle_alpha 90.00
_cell_angle_beta 90.00
_cell_angle_gamma 120.00
_space_group_name_H-M_alt 'R -3 m'
_space_group_IT_number 166
_space_group_name_Hall '-R 3 2"'
loop_
_atom_site_label
_atom_site_type_symbol
_atom_site_fract_x
_atom_site_fract_y
_atom_site_fract_z
Sr1 Sr 0.0000 0.0000 0.0634
Sr2 Sr 0.0000 0.0000 0.1469
Sr3 Sr 0.0000 0.0000 0.2302
Sr4 Sr 0.0000 0.0000 0.3135
Pd1 Pd 0.0000 0.0000 0.0000
Pd2 Pd 0.0000 0.0000 0.4166
Pd3 Pd 0.0000 0.0000 0.5000
```

Values from the calculation:
total energy = -3.2764 eV/atom

(3)
Material: NaLaHgS3
Method: DFT, PBE
State: optimized geometry

CIF file:
```
data_NaLaHgS3
_chemical_formula_sum 'Na4 La4 Hg4 S12'
_cell_length_a 4.215
_cell_length_b 13.163
_cell_length_c 11.221
_cell_angle_alpha 90.00
_cell_angle_beta 90.00
_cell_angle_gamma 90.00
_space_group_name_H-M_alt 'C m c m'
_space_group_IT_number 63
_space_group_name_Hall '-C 2c 2'
loop_
_atom_site_label
_atom_site_type_symbol
_atom_site_fract_x
_atom_site_fract_y
_atom_site_fract_z
Na1 Na 0.000 0.244 0.250
La1 La 0.000 0.500 0.000
Hg1 Hg 0.000 0.042 0.750
S1 S 0.000 0.142 0.561
S2 S 0.000 0.417 0.750
```

Values from the calculation:
offset from the most stable computed form = 31 meV/atom

(4)
Material: CsNiHgSe3
Method: DFT, PBE
State: optimized geometry

CIF file:
```
data_CsNiHgSe3
_chemical_formula_sum 'Cs4 Ni4 Hg4 Se12'
_cell_length_a 3.832
_cell_length_b 16.278
_cell_length_c 11.328
_cell_angle_alpha 90.00
_cell_angle_beta 90.00
_cell_angle_gamma 90.00
_space_group_name_H-M_alt 'C m c m'
_space_group_IT_number 63
_space_group_name_Hall '-C 2c 2'
loop_
_atom_site_label
_atom_site_type_symbol
_atom_site_fract_x
_atom_site_fract_y
_atom_site_fract_z
Cs1 Cs 0.000 0.248 0.250
Ni1 Ni 0.000 0.500 0.000
Hg1 Hg 0.000 0.052 0.750
Se1 Se 0.000 0.093 0.525
Se2 Se 0.000 0.433 0.750
```

Values from the calculation:
total energy = -3.1681 eV/atom

(5)
Material: Hf3Sc3Sb2Os
Method: DFT, PBE
State: optimized geometry

CIF file:
```
data_Hf3Sc3Sb2Os
_chemical_formula_sum 'Hf3 Sc3 Sb2 Os1'
_cell_length_a 7.8114
_cell_length_b 7.8114
_cell_length_c 3.7150
_cell_angle_alpha 90.00
_cell_angle_beta 90.00
_cell_angle_gamma 120.00
_space_group_name_H-M_alt 'P -6 2 m'
_space_group_IT_number 189
_space_group_name_Hall 'P -6 -2'
loop_
_atom_site_label
_atom_site_type_symbol
_atom_site_fract_x
_atom_site_fract_y
_atom_site_fract_z
Hf1 Hf 0.0000 0.2446 0.0000
Sc1 Sc 0.0000 0.6058 0.5000
Sb1 Sb 0.3333 0.6667 0.0000
Os1 Os 0.0000 0.0000 0.5000
```

Values from the calculation:
offset from the most stable computed form = 0 meV/atom

(6)
Material: ZrHgTe3Pd
Method: DFT, PBE
State: optimized geometry

CIF file:
```
data_ZrHgTe3Pd
_chemical_formula_sum 'Zr4 Hg4 Te12 Pd4'
_cell_length_a 3.932
_cell_length_b 16.186
_cell_length_c 10.336
_cell_angle_alpha 90.00
_cell_angle_beta 90.00
_cell_angle_gamma 90.00
_space_group_name_H-M_alt 'C m c m'
_space_group_IT_number 63
_space_group_name_Hall '-C 2c 2'
loop_
_atom_site_label
_atom_site_type_symbol
_atom_site_fract_x
_atom_site_fract_y
_atom_site_fract_z
Zr1 Zr 0.000 0.000 0.000
Hg1 Hg 0.000 0.252 0.250
Te1 Te 0.000 0.090 0.750
Te2 Te 0.000 0.370 0.561
Pd1 Pd 0.000 0.479 0.750
```

Values from the calculation:
total energy = -4.4283 eV/atom

(7)
Material: CsYPtSe3
Method: DFT, PBE
State: optimized geometry

CIF file:
```
data_CsYPtSe3
_chemical_formula_sum 'Cs4 Y4 Pt4 Se12'
_cell_length_a 16.534
_cell_length_b 4.074
_cell_length_c 11.038
_cell_angle_alpha 90.00
_cell_angle_beta 90.00
_cell_angle_gamma 90.00
_space_group_name_H-M_alt 'P n m a'
_space_group_IT_number 62
_space_group_name_Hall '-P 2ac 2n'
loop_
_atom_site_label
_atom_site_type_symbol
_atom_site_fract_x
_atom_site_fract_y
_atom_site_fract_z
Cs1 Cs 0.237 0.250 0.028
Y1 Y 0.017 0.250 0.343
Pt1 Pt 0.002 0.250 0.916
Se1 Se 0.084 0.750 0.871
Se2 Se 0.092 0.250 0.573
Se3 Se 0.117 0.750 0.238
```

Values from the calculation:
offset from the most stable computed form = 4 meV/atom

(8)
Material: Na4AgP2Pd
Method: DFT, PBE
State: optimized geometry

CIF file:
```
data_Na4AgP2Pd
_chemical_formula_sum 'Na8 Ag2 P4 Pd2'
_cell_length_a 6.952
_cell_length_b 8.688
_cell_length_c 5.562
_cell_angle_alpha 90.00
_cell_angle_beta 90.03
_cell_angle_gamma 90.00
_space_group_name_H-M_alt 'C 1 2/m 1'
_space_group_IT_number 12
_space_group_name_Hall '-C 2y'
loop_
_atom_site_label
_atom_site_type_symbol
_atom_site_fract_x
_atom_site_fract_y
_atom_site_fract_z
Na1 Na 0.146 0.178 0.244
Ag1 Ag 0.000 0.500 0.500
P1 P 0.219 0.000 0.762
Pd1 Pd 0.000 0.500 0.000
```

Values from the calculation:
total energy = -3.3785 eV/atom

(9)
Material: HgAuSeO
Method: DFT, PBE
State: optimized geometry

CIF file:
```
data_HgAuSeO
_chemical_formula_sum 'Hg2 Au2 Se2 O2'
_cell_length_a 4.369
_cell_length_b 4.369
_cell_length_c 9.035
_cell_angle_alpha 90.00
_cell_angle_beta 90.00
_cell_angle_gamma 90.00
_space_group_name_H-M_alt 'P 4/n m m'
_space_group_IT_number 129
loop_
_space_group_symop_operation_xyz
'x,y,z'
'-x,-y,-z'
'-y+1/2,x,z'
'y+1/2,-x,-z'
'-x+1/2,-y+1/2,z'
'x+1/2,y+1/2,-z'
'y,-x+1/2,z'
'-y,x+1/2,-z'
'x+1/2,-y,-z'
'-x+1/2,y,z'
'-y,-x,-z'
'y,x,z'
'-x,y+1/2,-z'
'x,-y+1/2,z'
'y+1/2,x+1/2,-z'
'-y+1/2,-x+1/2,z'
loop_
_atom_site_label
_atom_site_type_symbol
_atom_site_fract_x
_atom_site_fract_y
_atom_site_fract_z
Hg1 Hg 0.250 0.750 0.000
Au1 Au 0.250 0.250 0.461
Se1 Se 0.250 0.250 0.809
O1 O 0.250 0.750 0.500
```

Values from the calculation:
offset from the most stable computed form = 150 meV/atom

(10)
Material: Y3Cd2InAgAu2
Method: DFT, PBE
State: optimized geometry

CIF file:
```
data_Y3Cd2InAgAu2
_chemical_formula_sum 'Y6 Cd4 In2 Ag2 Au4'
_cell_length_a 3.861
_cell_length_b 13.658
_cell_length_c 7.906
_cell_angle_alpha 90.00
_cell_angle_beta 90.00
_cell_angle_gamma 90.00
_space_group_name_H-M_alt 'A m m 2'
_space_group_IT_number 38
_space_group_name_Hall 'A 2 -2'
loop_
_atom_site_label
_atom_site_type_symbol
_atom_site_fract_x
_atom_site_fract_y
_atom_site_fract_z
Y1 Y 0.000 0.000 0.000
Y2 Y 0.000 0.205 0.392
Cd1 Cd 0.500 0.132 0.727
In1 In 0.500 0.000 0.334
Ag1 Ag 0.000 0.000 0.595
Au1 Au 0.500 0.166 0.096
```

Values from the calculation:
total energy = -4.3183 eV/atom

(11)
Material: YErZn6
Method: DFT, PBE
State: optimized geometry

CIF file:
```
data_YErZn6
_chemical_formula_sum 'Y1 Er1 Zn6'
_cell_length_a 4.657
_cell_length_b 4.657
_cell_length_c 6.589
_cell_angle_alpha 90.00
_cell_angle_beta 90.00
_cell_angle_gamma 90.00
_space_group_name_H-M_alt 'P 4/m m m'
_space_group_IT_number 123
_space_group_name_Hall '-P 4 2'
loop_
_atom_site_label
_atom_site_type_symbol
_atom_site_fract_x
_atom_site_fract_y
_atom_site_fract_z
Y1 Y 0.000 0.000 0.000
Er1 Er 0.500 0.500 0.500
Zn1 Zn 0.000 0.000 0.500
Zn2 Zn 0.000 0.500 0.253
Zn3 Zn 0.500 0.500 0.000
```

Values from the calculation:
energy of formation = -2.3 eV per formula unit

(12)
Material: Sc2AgHg2
Method: DFT, PBE
State: optimized geometry

CIF file:
```
data_Sc2AgHg2
_chemical_formula_sum 'Sc4 Ag2 Hg4'
_cell_length_a 4.238
_cell_length_b 4.238
_cell_length_c 13.092
_cell_angle_alpha 90.00
_cell_angle_beta 90.00
_cell_angle_gamma 90.00
_space_group_name_H-M_alt 'I 4/m m m'
_space_group_IT_number 139
_space_group_name_Hall '-I 4 2'
loop_
_atom_site_label
_atom_site_type_symbol
_atom_site_fract_x
_atom_site_fract_y
_atom_site_fract_z
Sc1 Sc 0.000 0.000 0.104
Ag1 Ag 0.000 0.000 0.500
Hg1 Hg 0.000 0.500 0.250
```

Values from the calculation:
offset from the most stable computed form = 63 meV/atom
energy of formation = 0.9 eV per formula unit